# 1
Entry from Alexandria via LeMat-Bulk: a relaxed structure of LaYGaP2 (PBE).

abc: 5.321 5.361 5.321
angles: 90.00 90.00 90.00
Sites, in units of the cell vectors:
Y: 0.500 0.500 0.500
La: 0.000 0.000 0.000
P: 0.000 0.000 0.500
P: 0.500 0.000 0.000
Ga: 0.000 0.500 0.000

Computed properties:
Energy in eV per atom: -4.750
Energy of formation from the pure elements in eV per atom: 0.30

# 2
Entry from Alexandria via LeMat-Bulk: a relaxed structure of DyEr2Zn4 (PBE).

abc: 5.106 5.106 7.186
angles: 110.81 110.81 90.00
Sites, in units of the cell vectors:
Er: 0.727 0.727 0.453
Er: 0.273 0.273 0.547
Zn: 0.388 0.888 0.776
Zn: 0.888 0.388 0.776
Zn: 0.112 0.612 0.224
Zn: 0.612 0.112 0.224
Dy: 0.000 0.000 0.000

Computed properties:
Energy in eV per atom: -2.845
Energy of formation from the pure elements in eV per atom: -0.16

# 3
Entry from Alexandria via LeMat-Bulk: a relaxed structure of Pm6Sm2Rh (PBE).

abc: 3.691 9.318 9.994
angles: 117.79 90.03 90.00
Sites, in units of the cell vectors:
Sm: 0.500 0.328 0.656
Sm: 0.500 0.672 0.344
Pm: 0.000 0.334 0.335
Pm: 0.000 0.000 0.335
Pm: 0.000 0.000 0.665
Pm: 0.500 0.222 0.000
Pm: 0.500 0.778 0.000
Pm: 0.000 0.666 0.665
Rh: 0.000 0.000 0.000

Computed properties:
Energy in eV per atom: -5.009
Energy of formation from the pure elements in eV per atom: 0.02